Record 1
Density functional theory data (PBE-GGA) for a geometry-optimized KSbTe2S6 structure.

Lattice parameters (Å, degrees): 6.929 6.929 8.341 90.00 114.55 120.01
Sites, in units of the cell vectors:
S1 0.586 0.003 0.714
S2 0.485 0.060 0.171
K1 0.024 0.512 0.522
Te1 0.606 0.303 0.895
S3 0.146 0.142 0.714
S4 0.125 0.424 0.171
S5 0.761 0.700 0.171
S6 0.725 0.582 0.714
Te2 0.538 0.769 0.293
Sb1 0.968 0.983 0.937

Record 2
Density functional theory data (PBE-GGA) for a geometry-optimized KSbTe2S structure.

Lattice parameters (Å, degrees): 5.485 5.485 5.359 90.00 90.00 90.00
Last column: magnetic moment on the atom in μB.
Sites, in units of the cell vectors:
S1 0.000 0.000 0.000  0.02
Sb1 0.000 0.000 0.500  0.34
K1 0.500 0.500 0.500  0.01
Te1 0.500 0.000 0.000  0.06
Te2 0.000 0.500 0.000  0.06

Properties
Relative energy among the computed polymorphs, eV per atom: 0.0000

Record 3
Density functional theory data (PBE-GGA) for a geometry-optimized K2SbTeS4 structure.

Lattice parameters (Å, degrees): 6.853 6.853 6.853 109.54 109.43 109.43
Sites, in units of the cell vectors:
S1 0.542 0.253 0.397
K1 0.000 0.000 0.000
K2 0.500 0.750 0.250
S2 0.144 0.289 0.747
S3 0.458 0.854 0.711
S4 0.856 0.603 0.146
Te1 0.000 0.500 0.500
Sb1 0.500 0.250 0.750

Record 4
Density functional theory data (PBE-GGA) for a geometry-optimized KTiSbS4 structure.

Lattice parameters (Å, degrees): 6.614 7.087 8.833 90.00 107.65 90.00
Sites, in units of the cell vectors:
S1 0.978 0.993 0.281
K1 0.725 0.750 0.917
S2 0.978 0.507 0.281
S3 0.562 0.250 0.443
Ti1 0.785 0.250 0.685
S4 0.432 0.750 0.152
S5 0.438 0.750 0.557
K2 0.275 0.250 0.083
Sb1 0.240 0.250 0.604
S6 0.568 0.250 0.848
Ti2 0.215 0.750 0.315
S7 0.022 0.493 0.719
Sb2 0.760 0.750 0.396
S8 0.022 0.007 0.719

Record 5
Density functional theory data (PBE-GGA) for a geometry-optimized K2TiSbS5 structure.

Lattice parameters (Å, degrees): 3.862 9.104 14.065 90.00 90.00 102.24
Last column: magnetic moment on the atom in μB.
Sites, in units of the cell vectors:
Sb1 0.451 0.902 0.437  0.08
S1 0.502 0.003 0.279  0.11
Sb2 0.549 0.098 0.937  0.08
Ti1 0.218 0.437 0.034  0.01
K1 0.855 0.710 0.807  0.00
S2 0.498 0.997 0.779  0.11
S3 0.662 0.324 0.493  0.01
K2 0.145 0.290 0.307  0.00
S4 0.939 0.877 0.558  0.17
S5 0.338 0.676 0.993  0.01
S6 0.714 0.427 0.139  0.02
S7 0.061 0.123 0.058  0.17
S8 0.286 0.573 0.639  0.02
K3 0.110 0.220 0.667  0.00
K4 0.890 0.780 0.167  0.00
Ti2 0.782 0.563 0.534  0.01
S9 0.685 0.371 0.909  0.01
S10 0.315 0.629 0.409  0.01

Record 6
Density functional theory data (PBE-GGA) for a geometry-optimized K3U3SbS8 structure.

Lattice parameters (Å, degrees): 8.073 8.072 8.820 117.25 90.00 120.00
Last column: magnetic moment on the atom in μB.
Sites, in units of the cell vectors:
S1 0.235 0.964 0.699  -0.05
S2 0.765 0.036 0.301  -0.05
S3 0.266 0.532 0.297  -0.06
S4 0.765 0.530 0.301  -0.04
S5 0.235 0.470 0.699  -0.04
Sb1 0.000 0.000 0.500  0.03
K1 0.500 0.500 0.000  0.00
U1 0.500 0.000 0.500  2.48
S6 0.729 0.964 0.699  -0.05
K2 0.000 0.000 0.000  0.00
U2 0.000 0.500 0.500  2.48
S7 0.271 0.036 0.301  -0.05
K3 0.000 0.500 0.000  0.00
U3 0.500 0.500 0.500  2.48
S8 0.734 0.468 0.703  -0.06

Number 1: formation energy without anion corrections -237 meV/atom, E_tot -0.14200 Ha/atom. Number 2: formation energy without anion corrections 17 meV/atom, E_tot -0.11426 Ha/atom. Number 3: formation energy without anion corrections -479 meV/atom, E_tot -0.13689 Ha/atom. Number 4: formation energy without anion corrections -894 meV/atom, E_tot -0.18836 Ha/atom. Number 5: formation energy without anion corrections -857 meV/atom, E_tot -0.17379 Ha/atom. Number 6: formation energy without anion corrections -1215 meV/atom, E_tot -0.22668 Ha/atom.